[1]
A relaxed structure of Y2SnCl8, computed with GGA-PBE.

The structure in POSCAR format:
```
Y2SnCl8
1.0
10.749 -1.947 0.000
10.749 1.947 0.000
-0.992 0.000 7.886
Y Sn Cl
2 1 8
Direct
0.161 0.161 0.343 Y
0.839 0.839 0.657 Y
0.500 0.500 0.000 Sn
0.025 0.025 0.258 Cl
0.244 0.244 0.665 Cl
0.365 0.365 0.919 Cl
0.381 0.381 0.472 Cl
0.619 0.619 0.528 Cl
0.635 0.635 0.081 Cl
0.756 0.756 0.335 Cl
0.975 0.975 0.742 Cl
```

Results
The calculation puts the formation energy (no corrections) at -1873 meV per atom.


[2]
A relaxed structure of CdBPt3, computed with GGA-PBE.

The structure in POSCAR format:
```
CdBPt3
1.0
5.732 0.000 0.000
-2.866 4.964 0.000
0.000 0.000 5.368
Cd B Pt
2 2 6
Direct
0.333 0.667 0.250 Cd
0.667 0.333 0.750 Cd
0.000 0.000 0.000 B
0.000 0.000 0.500 B
0.171 0.341 0.750 Pt
0.171 0.829 0.750 Pt
0.341 0.171 0.250 Pt
0.659 0.829 0.750 Pt
0.829 0.171 0.250 Pt
0.829 0.659 0.250 Pt
```

Results
The value obtained for the offset from the most stable computed form is 92 meV per atom. The formation energy is -0.26 eV/atom.


[3]
A relaxed structure of CdGePd5, computed with GGA-PBE.

The structure in POSCAR format:
```
CdGePd5
1.0
4.378 -3.372 0.000
4.378 3.372 0.000
-3.809 0.000 8.337
Cd Ge Pd
2 2 10
Direct
0.076 0.924 0.750 Cd
0.924 0.076 0.250 Cd
0.000 0.500 0.000 Ge
0.500 0.000 0.500 Ge
0.141 0.417 0.757 Pd
0.253 0.493 0.505 Pd
0.344 0.656 0.250 Pd
0.417 0.141 0.257 Pd
0.493 0.253 0.005 Pd
0.507 0.747 0.995 Pd
0.583 0.859 0.743 Pd
0.656 0.344 0.750 Pd
0.747 0.507 0.495 Pd
0.859 0.583 0.243 Pd
```

Results
The value obtained for the offset from the most stable computed form is 173 meV per atom. The formation energy is -0.21 eV/atom.


[4]
A relaxed structure of HfUCd, computed with GGA-PBE.

The structure in POSCAR format:
```
HfUCd
1.0
-1.658 1.658 12.674
1.658 -1.658 12.674
1.658 1.658 -12.674
Hf U Cd
2 2 2
Direct
0.139 0.139 0.000 Hf
0.861 0.861 0.000 Hf
0.277 0.277 0.000 U
0.723 0.723 0.000 U
0.443 0.443 0.000 Cd
0.557 0.557 0.000 Cd
```

Results
The formation energy is 0.16 eV/atom.


[5]
A relaxed structure of TaRe3Si, computed with GGA-PBE.

The structure in POSCAR format:
```
TaRe3Si
1.0
4.783 0.000 0.000
0.000 4.783 0.000
0.000 0.000 4.783
Ta Re Si
1 3 1
Direct
0.000 0.000 0.000 Ta
0.000 0.000 0.500 Re
0.000 0.500 0.000 Re
0.500 0.000 0.000 Re
0.500 0.500 0.500 Si
```

Results
The value obtained for the offset from the most stable computed form is 1688 meV per atom. The calculation puts the formation energy (no corrections) at 2543 meV per atom.


[6]
A relaxed structure of Sm5Os2Pd, computed with GGA-PBE.

The structure in POSCAR format:
```
Sm5Os2Pd
1.0
-3.909 3.909 6.675
3.909 -3.909 6.675
3.909 3.909 -6.675
Sm Os Pd
10 4 2
Direct
0.000 0.000 0.000 Sm
0.025 0.525 0.823 Sm
0.201 0.025 0.500 Sm
0.299 0.799 0.823 Sm
0.475 0.299 0.500 Sm
0.500 0.500 0.000 Sm
0.525 0.701 0.500 Sm
0.701 0.201 0.177 Sm
0.799 0.975 0.500 Sm
0.975 0.475 0.177 Sm
0.137 0.363 0.500 Os
0.363 0.863 0.226 Os
0.637 0.137 0.774 Os
0.863 0.637 0.500 Os
0.250 0.250 0.000 Pd
0.750 0.750 0.000 Pd
```

Results
The formation energy is -0.31 eV/atom.


[7]
A relaxed structure of ErBe17Rh, computed with GGA-PBE.

The structure in POSCAR format:
```
ErBe17Rh
1.0
3.748 2.164 3.612
-3.748 2.164 3.612
0.000 -4.328 3.612
Er Be Rh
1 17 1
Direct
0.000 0.000 0.000 Er
0.008 0.008 0.492 Be
0.008 0.492 0.008 Be
0.148 0.665 0.665 Be
0.315 0.315 0.787 Be
0.315 0.787 0.315 Be
0.368 0.648 0.953 Be
0.368 0.953 0.648 Be
0.492 0.008 0.008 Be
0.556 0.556 0.556 Be
0.648 0.368 0.953 Be
0.648 0.953 0.368 Be
0.665 0.148 0.665 Be
0.665 0.665 0.148 Be
0.750 0.750 0.750 Be
0.787 0.315 0.315 Be
0.953 0.368 0.648 Be
0.953 0.648 0.368 Be
0.329 0.329 0.329 Rh
```

Results
The formation energy is -0.14 eV/atom.


[8]
A relaxed structure of Th4Bi3Pt, computed with GGA-PBE.

The structure in POSCAR format:
```
Th4Bi3Pt
1.0
7.955 0.000 0.000
0.000 9.086 0.000
-2.551 0.000 7.261
Th Bi Pt
8 6 2
Direct
0.213 0.107 0.007 Th
0.213 0.893 0.507 Th
0.234 0.356 0.481 Th
0.234 0.644 0.981 Th
0.766 0.356 0.019 Th
0.766 0.644 0.519 Th
0.787 0.107 0.493 Th
0.787 0.893 0.993 Th
0.000 0.376 0.750 Bi
0.000 0.624 0.250 Bi
0.500 0.126 0.750 Bi
0.500 0.381 0.250 Bi
0.500 0.619 0.750 Bi
0.500 0.874 0.250 Bi
0.000 0.124 0.250 Pt
0.000 0.876 0.750 Pt
```

Results
The formation energy is -0.72 eV/atom.


[9]
A relaxed structure of KYTl2, computed with GGA-PBE.

The structure in POSCAR format:
```
KYTl2
1.0
1.851 1.069 11.669
-1.851 1.069 11.669
0.000 -2.137 11.669
K Y Tl
1 1 2
Direct
0.000 0.000 0.000 K
0.768 0.768 0.768 Y
0.246 0.246 0.246 Tl
0.507 0.507 0.507 Tl
```

Results
The value obtained for the offset from the most stable computed form is 297 meV per atom. The formation energy is 0.09 eV/atom.


[10]
A relaxed structure of Th4Sb2Te5, computed with GGA-PBE.

The structure in POSCAR format:
```
Th4Sb2Te5
1.0
-2.291 6.319 8.328
2.291 -6.319 8.328
2.291 6.319 -8.328
Th Sb Te
4 2 5
Direct
0.167 0.167 0.000 Th
0.341 0.500 0.841 Th
0.659 0.500 0.159 Th
0.833 0.833 0.000 Th
0.346 0.346 0.000 Sb
0.654 0.654 0.000 Sb
0.030 0.368 0.663 Te
0.295 0.632 0.663 Te
0.500 0.000 0.500 Te
0.705 0.368 0.337 Te
0.970 0.632 0.337 Te
```

Results
The calculation puts the formation energy (no corrections) at -557 meV per atom.


[11]
A relaxed structure of MnAgGeI2, computed with GGA-PBE.

The structure in POSCAR format:
```
MnAgGeI2
1.0
5.081 0.000 0.000
0.000 5.081 0.000
0.000 0.000 5.134
Mn Ag Ge I
1 1 1 2
Direct
0.000 0.000 0.000 Mn
0.000 0.000 0.500 Ag
0.500 0.500 0.500 Ge
0.000 0.500 0.000 I
0.500 0.000 0.000 I
```

Results
The calculation puts the formation energy (no corrections) at 927 meV per atom.


[12]
A relaxed structure of Rb2CuBSe4, computed with GGA-PBE.

The structure in POSCAR format:
```
Rb2CuBSe4
1.0
0.000 6.668 10.573
3.235 0.000 10.573
3.235 6.668 0.000
Rb Cu B Se
4 2 2 8
Direct
0.060 0.060 0.690 Rb
0.310 0.310 0.940 Rb
0.690 0.690 0.060 Rb
0.940 0.940 0.310 Rb
0.125 0.125 0.125 Cu
0.875 0.875 0.875 Cu
0.375 0.375 0.375 B
0.625 0.625 0.625 B
0.030 0.608 0.570 Se
0.293 0.570 0.608 Se
0.392 0.970 0.707 Se
0.430 0.707 0.970 Se
0.570 0.293 0.030 Se
0.608 0.030 0.293 Se
0.707 0.430 0.392 Se
0.970 0.392 0.430 Se
```

Results
The calculation puts the formation energy (no corrections) at -541 meV per atom.


[13]
A relaxed structure of Zr2TaSb, computed with GGA-PBE.

The structure in POSCAR format:
```
Zr2TaSb
1.0
-1.879 2.384 4.751
1.879 -2.384 4.751
1.879 2.384 -4.751
Zr Ta Sb
2 1 1
Direct
0.000 0.000 0.000 Zr
0.744 0.244 0.500 Zr
0.242 0.742 0.500 Ta
0.485 0.485 0.000 Sb
```

Results
The calculation puts the formation energy (no corrections) at -190 meV per atom.


[14]
A relaxed structure of BC3, computed with GGA-PBE.

The structure in POSCAR format:
```
BC3
1.0
4.334 -1.253 0.000
4.334 1.253 0.000
-3.374 0.000 6.838
B C
3 9
Direct
0.000 0.000 0.000 B
0.003 0.003 0.498 B
0.332 0.332 0.665 B
0.168 0.168 0.448 C
0.170 0.170 0.965 C
0.332 0.332 0.170 C
0.498 0.498 0.142 C
0.508 0.508 0.644 C
0.668 0.668 0.335 C
0.668 0.668 0.843 C
0.826 0.826 0.805 C
0.829 0.829 0.288 C
```

Results
The value obtained for the offset from the most stable computed form is 66 meV per atom. The formation energy is 0.31 eV/atom.


[15]
A relaxed structure of Dy7YEr3, computed with GGA-PBE.

The structure in POSCAR format:
```
Dy7YEr3
1.0
6.269 -5.557 0.000
6.269 5.557 0.000
-2.637 0.000 5.118
Dy Y Er
7 1 3
Direct
0.000 0.000 0.000 Dy
0.099 0.501 0.300 Dy
0.293 0.293 0.794 Dy
0.499 0.901 0.700 Dy
0.501 0.099 0.300 Dy
0.707 0.707 0.206 Dy
0.901 0.499 0.700 Dy
0.000 0.000 0.500 Y
0.294 0.706 0.000 Er
0.500 0.500 0.500 Er
0.706 0.294 0.000 Er
```

Results
The value obtained for the offset from the most stable computed form is 124 meV per atom. The formation energy is 0.27 eV/atom.


[16]
A relaxed structure of KScMo, computed with GGA-PBE.

The structure in POSCAR format:
```
KScMo
1.0
0.000 3.597 3.597
3.597 0.000 3.597
3.597 3.597 0.000
K Sc Mo
1 1 1
Direct
0.000 0.000 0.000 K
0.500 0.500 0.500 Sc
0.750 0.750 0.750 Mo
```

Results
The value obtained for the offset from the most stable computed form is 997 meV per atom. The formation energy is 1.79 eV/atom.


[17]
A relaxed structure of NaPu2F6, computed with GGA-PBE.

The structure in POSCAR format:
```
NaPu2F6
1.0
6.070 0.000 0.000
0.000 5.918 0.000
-4.144 0.000 8.542
Na Pu F
2 4 12
Direct
0.000 0.000 0.000 Na
0.000 0.500 0.500 Na
0.320 0.100 0.782 Pu
0.320 0.400 0.282 Pu
0.680 0.600 0.718 Pu
0.680 0.900 0.218 Pu
0.023 0.110 0.228 F
0.023 0.390 0.728 F
0.298 0.705 0.114 F
0.298 0.795 0.614 F
0.360 0.175 0.059 F
0.360 0.325 0.559 F
0.640 0.675 0.441 F
0.640 0.825 0.941 F
0.702 0.205 0.386 F
0.702 0.295 0.886 F
0.977 0.610 0.272 F
0.977 0.890 0.772 F
```

Results
The value obtained for the offset from the most stable computed form is 83 meV per atom. The calculation puts the formation energy (no corrections) at -3235 meV per atom.


[18]
A relaxed structure of Sr2Li2GaPd5, computed with GGA-PBE.

The structure in POSCAR format:
```
Sr2Li2GaPd5
1.0
9.916 0.000 0.000
0.000 9.916 0.000
0.000 0.000 3.676
Sr Li Ga Pd
4 4 2 10
Direct
0.181 0.319 0.000 Sr
0.319 0.819 0.000 Sr
0.681 0.181 0.000 Sr
0.819 0.681 0.000 Sr
0.120 0.620 0.000 Li
0.380 0.120 0.000 Li
0.620 0.880 0.000 Li
0.880 0.380 0.000 Li
0.000 0.000 0.000 Ga
0.500 0.500 0.000 Ga
0.000 0.500 0.500 Pd
0.055 0.800 0.500 Pd
0.200 0.055 0.500 Pd
0.300 0.555 0.500 Pd
0.445 0.300 0.500 Pd
0.500 0.000 0.500 Pd
0.555 0.700 0.500 Pd
0.700 0.445 0.500 Pd
0.800 0.945 0.500 Pd
0.945 0.200 0.500 Pd
```

Results
The formation energy is -0.52 eV/atom.


[19]
A relaxed structure of Ti2Rh2Pb, computed with GGA-PBE.

The structure in POSCAR format:
```
Ti2Rh2Pb
1.0
-2.126 2.126 5.243
2.126 -2.126 5.243
2.126 2.126 -5.243
Ti Rh Pb
2 2 1
Direct
0.250 0.750 0.500 Ti
0.750 0.250 0.500 Ti
0.123 0.123 0.000 Rh
0.877 0.877 0.000 Rh
0.500 0.500 0.000 Pb
```

Results
The formation energy is -0.41 eV/atom.


[20]
A relaxed structure of TeC3, computed with GGA-PBE.

The structure in POSCAR format:
```
TeC3
1.0
-2.188 2.188 2.188
2.188 -2.188 2.188
2.188 2.188 -2.188
Te C
1 3
Direct
0.000 0.000 0.000 Te
0.000 0.500 0.500 C
0.500 0.000 0.500 C
0.500 0.500 0.000 C
```

Results
The value obtained for the offset from the most stable computed form is 1835 meV per atom. The calculation puts the formation energy (no corrections) at 2800 meV per atom.


[21]
A relaxed structure of K2Rb3Au, computed with GGA-PBE.

The structure in POSCAR format:
```
K2Rb3Au
1.0
12.014 -3.634 0.000
12.014 3.634 0.000
-1.845 0.000 9.476
K Rb Au
4 6 2
Direct
0.212 0.213 0.108 K
0.213 0.212 0.608 K
0.787 0.788 0.392 K
0.788 0.787 0.892 K
0.001 0.999 0.250 Rb
0.397 0.398 0.451 Rb
0.398 0.397 0.951 Rb
0.602 0.603 0.049 Rb
0.603 0.602 0.549 Rb
0.999 0.001 0.750 Rb
0.498 0.502 0.750 Au
0.502 0.498 0.250 Au
```

Results
The formation energy is -0.08 eV/atom.


[22]
A relaxed structure of Te2PtAu, computed with GGA-PBE.

The structure in POSCAR format:
```
Te2PtAu
1.0
2.055 1.187 7.962
-2.055 1.187 7.962
0.000 -2.373 7.962
Te Pt Au
2 1 1
Direct
0.110 0.110 0.110 Te
0.890 0.890 0.890 Te
0.500 0.500 0.500 Pt
0.000 0.000 0.000 Au
```

Results
The calculation puts the formation energy (no corrections) at -171 meV per atom.


no.,E_tot (eV/atom)
1,-4.756
2,-5.403
3,-4.707
4,-7.221
5,-8.381
6,-6.711
7,-4.099
8,-6.642
9,-2.987
10,-5.433
11,-3.021
12,-3.872
13,-8.458
14,-8.280
15,-4.493
16,-4.299
17,-7.814
18,-4.138
19,-7.246
20,-4.903
21,-1.475
22,-4.072